[1]
The following is a PBE-GGA calculation of a relaxed structure of MgBCl3, from Alexandria.

Lattice parameters (Å, degrees): 4.898 4.898 4.898 90.00 90.00 90.00
Space group Pm-3m (No. 221)
Unique sites:
Mg: 0.000 0.000 0.000 [1 per cell]
B: 0.500 0.500 0.500 [1 per cell]
Cl: 0.000 0.000 0.500 [3 per cell]

Properties
- D(E_F): 0.0 states/eV/f.u.
- Uncorrected energy: -2.955 eV/atom
- Formation energy without anion corrections: -0.96 eV per formula unit
- V: 117.54 Å³/cell

[2]
The following is a PBE-GGA calculation of a relaxed structure of CrOsRh2, from Alexandria.

Lattice parameters (Å, degrees): 2.6970 2.6970 26.0344 90.00 90.00 120.00
Space group R-3m (No. 166, hexagonal axes)
Unique sites:
Cr: 0.0000 0.0000 0.0000 [3 per cell]
Os: 0.0000 0.0000 0.5000 [3 per cell]
Rh: 0.0000 0.0000 0.2533 [6 per cell]

Properties
- D(E_F): 4.5 states/eV/f.u.
- Uncorrected energy: -8.816 eV/atom
- V: 164.00 Å³/cell
- ΔE_f: 0.0729 eV/atom

[3]
The following is a PBE-GGA calculation of a relaxed structure of La3Tb2TmAs6, from Alexandria.

Lattice parameters (Å, degrees): 7.357 12.742 7.348 90.00 109.49 90.00
Space group C2/m (No. 12)
Unique sites:
La: 0.000 0.000 0.000 [2 per cell]
La: 0.000 0.333 0.000 [4 per cell]
Tb: 0.000 0.166 0.500 [4 per cell]
Tm: 0.000 0.500 0.500 [2 per cell]
As: 0.244 0.335 0.736 [8 per cell]
As: 0.248 0.000 0.737 [4 per cell]

Properties
- D(E_F): 1.3 states/eV/f.u.
- Uncorrected energy: -6.241 eV/atom
- V: 649.38 Å³/cell
- ΔE_f: -1.5398 eV/atom

[4]
The following is a PBE-GGA calculation of a relaxed structure of MgNi3H, from Alexandria.

Lattice parameters (Å, degrees): 9.041 5.206 4.579 90.00 109.75 90.00
Space group Cm (No. 8)
Unique sites:
Mg: 0.000 0.000 0.000 [2 per cell]
Mg: 0.238 0.500 0.441 [2 per cell]
Ni: 0.244 0.247 0.956 [4 per cell]
Ni: 0.255 0.000 0.477 [2 per cell]
Ni: 0.494 0.000 0.952 [2 per cell]
Ni: 0.495 0.241 0.478 [4 per cell]
H: 0.117 0.000 0.651 [2 per cell]
H: 0.370 0.000 0.200 [2 per cell]

Properties
- D(E_F): 3.4 states/eV/f.u.
- Uncorrected energy: -4.589 eV/atom
- V: 202.87 Å³/cell

[5]
The following is a PBE-GGA calculation of a relaxed structure of Cd14GaAg, from Alexandria.

Lattice parameters (Å, degrees): 6.357 6.357 8.645 90.00 90.00 90.00
Space group P4/mmm (No. 123)
Unique sites:
Cd: 0.000 0.000 0.000 [1 per cell]
Cd: 0.000 0.500 0.000 [2 per cell]
Cd: 0.000 0.500 0.500 [2 per cell]
Cd: 0.248 0.248 0.255 [8 per cell]
Cd: 0.500 0.500 0.000 [1 per cell]
Ga: 0.500 0.500 0.500 [1 per cell]
Ag: 0.000 0.000 0.500 [1 per cell]

Properties
- D(E_F): 3.9 states/eV/f.u.
- Uncorrected energy: -1.161 eV/atom
- V: 349.39 Å³/cell
- ΔE_f: 0.0076 eV/atom

[6]
The following is a PBE-GGA calculation of a relaxed structure of ReTeSN2, from Alexandria.

Lattice parameters (Å, degrees): 3.665 3.665 6.761 90.00 90.00 90.00
Space group P4/mmm (No. 123)
Unique sites:
Re: 0.000 0.000 0.000 [1 per cell]
Te: 0.500 0.500 0.000 [1 per cell]
S: 0.500 0.500 0.500 [1 per cell]
N: 0.000 0.500 0.500 [2 per cell]

Properties
- D(E_F): 4.8 states/eV/f.u.
- Uncorrected energy: -5.101 eV/atom
- Formation energy without anion corrections: 10.86 eV per formula unit
- V: 90.80 Å³/cell